1.
First-principles (PBE-GGA) data for crystalline LaCoRh2 at its relaxed geometry, as listed in Alexandria.

The calculation puts the polymorph energy (0 for the lowest one) at 105 kJ/mol of formula units. As for the uncorrected energy: -6.666 eV/atom. As for the crystal system: cubic. For the energy of formation from the pure elements, the calculation gives 0.018 eV/atom.

abc: 4.611 4.611 4.611
angles: 60.00 60.00 60.00
Positions (direct):
1 Co 0.500 0.500 0.500
2 La 0.750 0.750 0.750
3 Rh 0.000 0.000 0.000
4 Rh 0.250 0.250 0.250

2.
First-principles (PBE-GGA) data for crystalline CrAs2 at its relaxed geometry, as listed in Alexandria.

As for the uncorrected energy: -6.163 eV/atom. As for the crystal system: tetragonal. For the energy of formation from the pure elements, the calculation gives 0.144 eV/atom.

abc: 4.839 4.839 4.839
angles: 139.05 139.03 59.31
Positions (direct):
1 As 0.347 0.347 0.000
2 As 0.653 0.653 0.000
3 Cr 0.000 0.000 0.000

3.
First-principles (PBE-GGA) data for crystalline Y2ErTl9 at its relaxed geometry, as listed in Alexandria.

As for the uncorrected energy: -3.466 eV/atom. As for the crystal system: tetragonal. For the energy of formation from the pure elements, the calculation gives -0.234 eV/atom.

abc: 4.765 4.765 14.297
angles: 90.00 90.00 90.00
Positions (direct):
1 Y 0.000 0.000 0.333
2 Y 0.000 0.000 0.667
3 Er 0.000 0.000 0.000
4 Tl 0.500 0.500 0.000
5 Tl 0.500 0.500 0.333
6 Tl 0.500 0.500 0.667
7 Tl 0.500 0.000 0.166
8 Tl 0.500 0.000 0.500
9 Tl 0.500 0.000 0.834
10 Tl 0.000 0.500 0.166
11 Tl 0.000 0.500 0.500
12 Tl 0.000 0.500 0.834

4.
First-principles (PBE-GGA) data for crystalline Ac2AlSnHg6 at its relaxed geometry, as listed in Alexandria.

As for the uncorrected energy: -1.983 eV/atom. As for the crystal system: orthorhombic. For the energy of formation from the pure elements, the calculation gives -0.206 eV/atom.

abc: 7.914 7.576 9.507
angles: 90.00 90.00 90.00
Positions (direct):
1 Ac 0.500 0.743 0.263
2 Ac 0.000 0.257 0.763
3 Ac 0.500 0.743 0.737
4 Ac 0.000 0.257 0.237
5 Al 0.500 0.075 0.500
6 Al 0.000 0.925 0.000
7 Sn 0.000 0.579 0.500
8 Sn 0.500 0.421 0.000
9 Hg 0.500 0.214 0.247
10 Hg 0.500 0.214 0.753
11 Hg 0.000 0.786 0.253
12 Hg 0.000 0.786 0.747
13 Hg 0.188 0.968 0.500
14 Hg 0.812 0.968 0.500
15 Hg 0.316 0.412 0.500
16 Hg 0.684 0.412 0.500
17 Hg 0.816 0.588 0.000
18 Hg 0.184 0.588 0.000
19 Hg 0.312 0.032 0.000
20 Hg 0.688 0.032 0.000

5.
First-principles (PBE-GGA) data for crystalline Nd4CdGaAg2 at its relaxed geometry, as listed in Alexandria.

As for the uncorrected energy: -3.930 eV/atom. As for the crystal system: trigonal. For the energy of formation from the pure elements, the calculation gives -0.341 eV/atom.

abc: 5.324 5.324 9.262
angles: 73.30 73.30 60.00
Positions (direct):
1 Nd 0.380 0.380 0.861
2 Nd 0.871 0.871 0.387
3 Nd 0.129 0.129 0.613
4 Nd 0.620 0.620 0.139
5 Cd 0.000 0.000 0.000
6 Ga 0.500 0.500 0.500
7 Ag 0.744 0.744 0.768
8 Ag 0.256 0.256 0.232

6.
First-principles (PBE-GGA) data for crystalline TbErTlOs at its relaxed geometry, as listed in Alexandria.

As for the uncorrected energy: -5.853 eV/atom. As for the crystal system: cubic. For the energy of formation from the pure elements, the calculation gives -0.155 eV/atom.

abc: 5.055 5.055 5.055
angles: 60.00 60.00 60.00
Positions (direct):
1 Tb 0.250 0.250 0.250
2 Tl 0.500 0.500 0.500
3 Os 0.000 0.000 0.000
4 Er 0.750 0.750 0.750

7.
First-principles (PBE-GGA) data for crystalline NpRh2SeS2 at its relaxed geometry, as listed in Alexandria.

As for the uncorrected energy: -7.101 eV/atom. As for the crystal system: monoclinic. For the uncorrected formation energy, the calculation gives -536.7 meV/atom.

abc: 5.345 6.168 7.774
angles: 111.87 90.00 90.00
Positions (direct):
1 Np 0.750 0.358 0.621
2 Np 0.250 0.642 0.379
3 Rh 0.496 0.086 0.202
4 Rh 0.004 0.086 0.202
5 Rh 0.996 0.914 0.798
6 Rh 0.504 0.914 0.798
7 Se 0.250 0.242 0.994
8 Se 0.750 0.758 0.006
9 S 0.250 0.102 0.452
10 S 0.250 0.568 0.698
11 S 0.750 0.898 0.548
12 S 0.750 0.432 0.302

8.
First-principles (PBE-GGA) data for crystalline Cu2WBr at its relaxed geometry, as listed in Alexandria.

The calculation puts the polymorph energy (0 for the lowest one) at 77 kJ/mol of formula units. As for the uncorrected energy: -4.979 eV/atom. As for the crystal system: monoclinic. For the uncorrected formation energy, the calculation gives 725.8 meV/atom.

abc: 4.476 2.861 4.929
angles: 89.75 90.00 90.00
Positions (direct):
1 Br 0.500 0.622 0.733
2 Cu 0.000 0.126 0.014
3 Cu 0.500 0.127 0.267
4 W 0.000 0.625 0.486

9.
First-principles (PBE-GGA) data for crystalline Mg7CdBi2Pb2 at its relaxed geometry, as listed in Alexandria.

As for the uncorrected energy: -2.291 eV/atom. As for the crystal system: monoclinic. For the energy of formation from the pure elements, the calculation gives -0.019 eV/atom.

abc: 4.734 4.734 15.701
angles: 71.75 71.75 89.68
Positions (direct):
1 Mg 0.500 0.500 0.000
2 Mg 0.251 0.251 0.500
3 Mg 0.749 0.749 0.500
4 Mg 0.854 0.356 0.144
5 Mg 0.356 0.854 0.144
6 Mg 0.644 0.146 0.856
7 Mg 0.146 0.644 0.856
8 Cd 0.000 0.000 0.000
9 Bi 0.692 0.692 0.311
10 Bi 0.308 0.308 0.689
11 Pb 0.808 0.808 0.690
12 Pb 0.192 0.192 0.310

10.
First-principles (PBE-GGA) data for crystalline Pr2Nd3Tm4 at its relaxed geometry, as listed in Alexandria.

The calculation puts the polymorph energy (0 for the lowest one) at 64 kJ/mol of formula units. As for the uncorrected energy: -4.544 eV/atom. As for the crystal system: monoclinic. For the energy of formation from the pure elements, the calculation gives 0.095 eV/atom.

abc: 6.163 11.280 11.280
angles: 63.06 63.36 63.36
Positions (direct):
1 Pr 0.441 0.257 0.516
2 Pr 0.059 0.484 0.743
3 Pr 0.559 0.743 0.484
4 Pr 0.941 0.516 0.257
5 Nd 0.771 0.018 0.304
6 Nd 0.729 0.696 0.982
7 Nd 0.229 0.982 0.696
8 Nd 0.271 0.304 0.018
9 Nd 0.250 0.633 0.367
10 Nd 0.750 0.367 0.633
11 Tm 0.426 0.943 0.171
12 Tm 0.074 0.829 0.057
13 Tm 0.574 0.057 0.829
14 Tm 0.926 0.171 0.943
15 Tm 0.106 0.150 0.385
16 Tm 0.394 0.615 0.850
17 Tm 0.894 0.850 0.615
18 Tm 0.606 0.385 0.150

11.
First-principles (PBE-GGA) data for crystalline Ag3TeBr7 at its relaxed geometry, as listed in Alexandria.

As for the uncorrected energy: -2.408 eV/atom. As for the crystal system: monoclinic. For the uncorrected formation energy, the calculation gives -280.6 meV/atom.

abc: 7.841 7.841 11.473
angles: 65.12 65.11 110.22
Positions (direct):
1 Ag 0.612 0.209 0.442
2 Ag 0.404 0.404 0.176
3 Ag 0.209 0.612 0.442
4 Te 0.052 0.052 0.937
5 Br 0.257 0.257 0.024
6 Br 0.458 0.075 0.311
7 Br 0.121 0.453 0.735
8 Br 0.075 0.458 0.311
9 Br 0.649 0.649 0.283
10 Br 0.453 0.121 0.735
11 Br 0.835 0.835 0.851

12.
First-principles (PBE-GGA) data for crystalline RbSb2F11 at its relaxed geometry, as listed in Alexandria.

As for the uncorrected energy: -4.458 eV/atom. As for the crystal system: orthorhombic. For the uncorrected formation energy, the calculation gives -2329.9 meV/atom.

abc: 8.135 9.099 9.099
angles: 71.29 63.45 63.45
Positions (direct):
1 Rb 0.750 0.750 0.750
2 Rb 0.250 0.250 0.250
3 Sb 0.613 0.683 0.317
4 Sb 0.387 0.317 0.683
5 Sb 0.887 0.183 0.817
6 Sb 0.113 0.817 0.183
7 F 0.622 0.702 0.516
8 F 0.377 0.298 0.484
9 F 0.159 0.516 0.702
10 F 0.878 0.984 0.798
11 F 0.841 0.484 0.298
12 F 0.123 0.016 0.202
13 F 0.341 0.798 0.984
14 F 0.659 0.202 0.016
15 F 0.500 0.500 0.500
16 F 0.000 0.000 0.000
17 F 0.872 0.798 0.202
18 F 0.128 0.202 0.798
19 F 0.628 0.298 0.702
20 F 0.372 0.702 0.298
21 F 0.487 0.919 0.301
22 F 0.513 0.081 0.699
23 F 0.293 0.301 0.919
24 F 0.013 0.199 0.581
25 F 0.707 0.699 0.081
26 F 0.987 0.801 0.419
27 F 0.207 0.581 0.199
28 F 0.793 0.419 0.801

13.
First-principles (PBE-GGA) data for crystalline Sr4BeBr at its relaxed geometry, as listed in Alexandria.

As for the uncorrected energy: -1.492 eV/atom. As for the crystal system: cubic. For the uncorrected formation energy, the calculation gives 529.5 meV/atom.

abc: 7.424 7.424 7.424
angles: 60.00 60.00 60.00
Positions (direct):
1 Sr 0.873 0.376 0.376
2 Sr 0.376 0.376 0.873
3 Sr 0.376 0.873 0.376
4 Sr 0.376 0.376 0.376
5 Be 0.750 0.750 0.750
6 Br 0.000 0.000 0.000

14.
First-principles (PBE-GGA) data for crystalline ZnCrRe2 at its relaxed geometry, as listed in Alexandria.

As for the uncorrected energy: -8.749 eV/atom. As for the crystal system: trigonal. For the energy of formation from the pure elements, the calculation gives 0.199 eV/atom.

abc: 8.969 8.969 8.969
angles: 17.53 17.53 17.53
Positions (direct):
1 Cr 0.749 0.749 0.749
2 Re 0.001 0.001 0.001
3 Re 0.252 0.252 0.252
4 Zn 0.498 0.498 0.498

15.
First-principles (PBE-GGA) data for crystalline IrAu2Cl8 at its relaxed geometry, as listed in Alexandria.

As for the uncorrected energy: -3.020 eV/atom. As for the crystal system: triclinic. For the uncorrected formation energy, the calculation gives -275.7 meV/atom.

abc: 8.083 7.886 8.077
angles: 43.04 71.26 78.69
Positions (direct):
1 Ir 0.000 0.000 0.000
2 Au 0.358 0.882 0.698
3 Au 0.642 0.118 0.302
4 Cl 0.139 0.870 0.282
5 Cl 0.903 0.343 0.933
6 Cl 0.861 0.130 0.718
7 Cl 0.593 0.457 0.234
8 Cl 0.097 0.657 0.067
9 Cl 0.268 0.202 0.677
10 Cl 0.732 0.798 0.323
11 Cl 0.407 0.543 0.766

16.
First-principles (PBE-GGA) data for crystalline V12C5N3 at its relaxed geometry, as listed in Alexandria.

As for the uncorrected energy: -9.068 eV/atom. As for the crystal system: cubic. For the uncorrected formation energy, the calculation gives -42.2 meV/atom.

abc: 10.410 10.410 10.410
angles: 109.47 109.47 109.47
Positions (direct):
1 N 0.750 0.375 0.125
2 N 0.875 0.750 0.125
3 N 0.375 0.750 0.625
4 N 0.250 0.125 0.375
5 N 0.875 0.125 0.250
6 N 0.375 0.625 0.250
7 N 0.625 0.375 0.750
8 N 0.125 0.875 0.750
9 N 0.750 0.875 0.625
10 N 0.625 0.250 0.375
11 N 0.125 0.250 0.875
12 N 0.250 0.625 0.875
13 C 0.125 0.375 0.250
14 C 0.000 0.500 0.000
15 C 0.000 0.000 0.000
16 C 0.375 0.250 0.125
17 C 0.500 0.000 0.500
18 C 0.500 0.500 0.000
19 C 0.125 0.750 0.375
20 C 0.750 0.125 0.875
21 C 0.750 0.625 0.375
22 C 0.375 0.125 0.750
23 C 0.625 0.875 0.250
24 C 0.500 0.500 0.500
25 C 0.500 0.000 0.000
26 C 0.000 0.000 0.500
27 C 0.250 0.375 0.625
28 C 0.250 0.875 0.125
29 C 0.000 0.500 0.500
30 C 0.875 0.250 0.625
31 C 0.625 0.750 0.875
32 C 0.875 0.625 0.750
33 V 0.723 0.118 0.044
34 V 0.321 0.544 0.426
35 V 0.956 0.382 0.277
36 V 0.544 0.223 0.118
37 V 0.604 0.723 0.679
38 V 0.956 0.574 0.179
39 V 0.321 0.777 0.396
40 V 0.074 0.896 0.118
41 V 0.574 0.956 0.679
42 V 0.723 0.604 0.179
43 V 0.777 0.456 0.382
44 V 0.821 0.926 0.044
45 V 0.118 0.723 0.544
46 V 0.382 0.426 0.104
47 V 0.104 0.926 0.382
48 V 0.396 0.118 0.574
49 V 0.104 0.179 0.223
50 V 0.456 0.679 0.074
51 V 0.821 0.896 0.277
52 V 0.118 0.396 0.074
53 V 0.382 0.956 0.777
54 V 0.574 0.618 0.396
55 V 0.926 0.821 0.544
56 V 0.777 0.321 0.896
57 V 0.426 0.382 0.604
58 V 0.074 0.179 0.456
59 V 0.223 0.679 0.104
60 V 0.179 0.104 0.723
61 V 0.618 0.044 0.223
62 V 0.882 0.604 0.926
63 V 0.544 0.321 0.926
64 V 0.604 0.882 0.426
65 V 0.896 0.821 0.777
66 V 0.896 0.074 0.618
67 V 0.882 0.277 0.456
68 V 0.179 0.074 0.956
69 V 0.618 0.574 0.896
70 V 0.426 0.044 0.321
71 V 0.277 0.396 0.821
72 V 0.223 0.544 0.618
73 V 0.926 0.104 0.882
74 V 0.679 0.223 0.604
75 V 0.456 0.777 0.882
76 V 0.044 0.426 0.821
77 V 0.396 0.277 0.321
78 V 0.044 0.618 0.723
79 V 0.679 0.456 0.574
80 V 0.277 0.882 0.956

17.
First-principles (PBE-GGA) data for crystalline Sr2GaSi at its relaxed geometry, as listed in Alexandria.

As for the uncorrected energy: -3.400 eV/atom. As for the crystal system: monoclinic. For the uncorrected formation energy, the calculation gives -446.7 meV/atom.

abc: 4.239 6.363 9.511
angles: 111.98 90.00 90.00
Positions (direct):
1 Sr 0.750 0.218 0.432
2 Sr 0.250 0.782 0.568
3 Sr 0.250 0.779 0.073
4 Sr 0.750 0.221 0.927
5 Ga 0.250 0.371 0.219
6 Ga 0.750 0.629 0.781
7 Si 0.750 0.623 0.281
8 Si 0.250 0.377 0.719

18.
First-principles (PBE-GGA) data for crystalline NdEr2Pd at its relaxed geometry, as listed in Alexandria.

The calculation puts the polymorph energy (0 for the lowest one) at 53 kJ/mol of formula units. As for the uncorrected energy: -5.099 eV/atom. As for the crystal system: trigonal. For the energy of formation from the pure elements, the calculation gives -0.327 eV/atom.

abc: 3.866 3.866 9.407
angles: 78.14 78.14 60.00
Positions (direct):
1 Nd 0.502 0.502 0.495
2 Er 0.061 0.061 0.817
3 Er 0.271 0.271 0.186
4 Pd 0.666 0.666 0.003

19.
First-principles (PBE-GGA) data for crystalline Ba2Cu2Si at its relaxed geometry, as listed in Alexandria.

The calculation puts the polymorph energy (0 for the lowest one) at 256 kJ/mol of formula units. As for the uncorrected energy: -3.140 eV/atom. As for the crystal system: tetragonal. For the uncorrected formation energy, the calculation gives 352.1 meV/atom.

abc: 9.031 9.031 3.840
angles: 90.00 90.00 90.00
Positions (direct):
1 Si 0.000 0.000 0.000
2 Si 0.500 0.500 0.000
3 Ba 0.312 0.812 0.000
4 Ba 0.812 0.688 0.000
5 Ba 0.688 0.188 0.000
6 Ba 0.188 0.312 0.000
7 Cu 0.096 0.596 0.500
8 Cu 0.596 0.904 0.500
9 Cu 0.904 0.404 0.500
10 Cu 0.404 0.096 0.500